DFT (PBE-GGA) results for a relaxed LiBAs2O6 crystal.

Cell: 5.1876 7.9899 7.9899 Å, 98.73 70.68 70.68°
Positions (direct):
Li 0.2500 0.7731 0.2269
Li 0.7500 0.2269 0.7731
B 0.2500 0.2209 0.7791
B 0.7500 0.7791 0.2209
As 0.3771 0.8240 0.6302
As 0.1229 0.3698 0.1760
As 0.6229 0.1760 0.3698
As 0.8771 0.6302 0.8240
O 0.1477 0.0684 0.7619
O 0.3523 0.2381 0.9316
O 0.8523 0.9316 0.2381
O 0.6477 0.7619 0.0684
O 0.4734 0.8098 0.3787
O 0.0266 0.6213 0.1902
O 0.5266 0.1902 0.6213
O 0.9734 0.3787 0.8098
O 0.0825 0.7497 0.6590
O 0.4175 0.3410 0.2503
O 0.9175 0.2503 0.3410
O 0.5825 0.6590 0.7497

Results
- DOS at the Fermi energy: 2.063 states/eV per cell
- Energy relative to the elements, uncorrected: -1.445 eV/atom
- Calculated total energy: -6.209 eV/atom
- Space-group type: C2/c (15)

DFT (PBE-GGA) results for a relaxed LiBAsO4 crystal.

Cell: 4.7089 4.7089 4.8391 Å, 119.11 119.11 90.00°
Last column: magnetic moment on the atom in μB.
Positions (direct):
Li 0.0000 0.0000 0.0000  0.01
B 0.2500 0.7500 0.5000  0.00
As 0.5000 0.5000 0.0000  0.18
O 0.1900 0.0637 0.7326  0.17
O 0.3311 0.8100 0.2674  0.17
O 0.5426 0.6689 0.7326  0.17
O 0.9363 0.4574 0.2674  0.17

Results
- DOS at the Fermi energy: 0.721 states/eV per cell
- Energy relative to the elements, uncorrected: -1.670 eV/atom
- Calculated total energy: -6.394 eV/atom
- Space-group type: I-4 (82)